No. 1
This record from Alexandria via LeMat-Bulk describes a relaxed structure of Rb2AuS2. The functional is PBE-GGA.

Values from the calculation:
As for the total energy: -3.177 eV/atom. The total magnetic moment comes out at 0.000 μB/atom.

Cell lengths 7.230, 7.230, 5.196 Å; angles 90.00, 90.00, 90.00 degrees
Sites, in units of the cell vectors:
Rb  0.154  0.346  0.000
Rb  0.346  0.846  0.000
Rb  0.654  0.154  0.000
Rb  0.846  0.654  0.000
Au  0.000  0.000  0.500
Au  0.500  0.500  0.500
S  0.174  0.674  0.500
S  0.326  0.174  0.500
S  0.674  0.826  0.500
S  0.826  0.326  0.500

No. 2
This record from Alexandria via LeMat-Bulk describes a relaxed structure of Rb2AuS2. The functional is PBE-GGA.

Values from the calculation:
As for the total energy: -3.084 eV/atom. The total magnetic moment comes out at 0.200 μB/atom.

Cell lengths 6.281, 6.281, 6.281 Å; angles 119.07, 119.07, 91.62 degrees
Sites, in units of the cell vectors:
Rb  0.250  0.750  0.500
Rb  0.750  0.250  0.500
Au  0.000  0.000  0.000
S  0.384  0.384  0.000
S  0.616  0.616  0.000

No. 3
This record from Alexandria via LeMat-Bulk describes a relaxed structure of RbAuS. The functional is PBE-GGA.

Values from the calculation:
As for the total energy: -3.554 eV/atom. The total magnetic moment comes out at 0.000 μB/atom.

Cell lengths 5.280, 5.280, 7.079 Å; angles 90.00, 90.00, 100.90 degrees
Sites, in units of the cell vectors:
Rb  0.124  0.876  0.750
Rb  0.876  0.124  0.250
Au  0.500  0.500  0.000
Au  0.500  0.500  0.500
S  0.313  0.687  0.250
S  0.687  0.313  0.750

No. 4
This record from Alexandria via LeMat-Bulk describes a relaxed structure of Rb2AuS2. The functional is PBE-GGA.

Values from the calculation:
As for the total energy: -3.368 eV/atom. The total magnetic moment comes out at 0.000 μB/atom.

Cell lengths 3.773, 10.568, 7.411 Å; angles 90.00, 90.21, 90.00 degrees
Sites, in units of the cell vectors:
Rb  0.002  0.168  0.418
Rb  0.002  0.332  0.918
Rb  0.998  0.668  0.082
Rb  0.998  0.832  0.582
Au  0.000  0.000  0.000
Au  0.000  0.500  0.500
S  0.499  0.569  0.704
S  0.499  0.931  0.204
S  0.501  0.069  0.796
S  0.501  0.431  0.296

No. 5
This record from Alexandria via LeMat-Bulk describes a relaxed structure of Rb3AuS. The functional is PBE-GGA.

Values from the calculation:
As for the total energy: -2.669 eV/atom. The total magnetic moment comes out at 0.000 μB/atom.

Cell lengths 6.326, 6.326, 6.326 Å; angles 90.00, 90.00, 90.00 degrees
Sites, in units of the cell vectors:
Rb  0.000  0.000  0.500
Rb  0.000  0.500  0.000
Rb  0.500  0.000  0.000
Au  0.500  0.500  0.500
S  0.000  0.000  0.000

No. 6
This record from Alexandria via LeMat-Bulk describes a relaxed structure of RbAuS2. The functional is PBE-GGA.

Values from the calculation:
As for the total energy: -2.795 eV/atom. The total magnetic moment comes out at 0.500 μB/atom.

Cell lengths 5.076, 5.076, 5.076 Å; angles 60.00, 60.00, 60.00 degrees
Sites, in units of the cell vectors:
Rb  0.000  0.000  0.000
Au  0.500  0.500  0.500
S  0.250  0.250  0.250
S  0.750  0.750  0.750

No. 7
This record from Alexandria via LeMat-Bulk describes a relaxed structure of RbAu2S6. The functional is PBE-GGA.

Values from the calculation:
As for the total energy: -3.775 eV/atom. The total magnetic moment comes out at 0.000 μB/atom.

Cell lengths 4.151, 10.281, 13.224 Å; angles 90.00, 103.23, 90.00 degrees
Sites, in units of the cell vectors:
Rb  0.000  0.000  0.000
Rb  0.000  0.500  0.500
Au  0.023  0.220  0.287
Au  0.023  0.280  0.787
Au  0.977  0.720  0.213
Au  0.977  0.780  0.713
S  0.473  0.737  0.088
S  0.473  0.763  0.588
S  0.480  0.706  0.337
S  0.480  0.794  0.837
S  0.487  0.652  0.948
S  0.487  0.848  0.448
S  0.513  0.152  0.552
S  0.513  0.348  0.052
S  0.520  0.206  0.163
S  0.520  0.294  0.663
S  0.527  0.237  0.412
S  0.527  0.263  0.912

No. 8
This record from Alexandria via LeMat-Bulk describes a relaxed structure of RbAuS2. The functional is PBE-GGA.

Values from the calculation:
As for the total energy: -3.694 eV/atom. The total magnetic moment comes out at 0.000 μB/atom.

Cell lengths 7.531, 7.531, 7.086 Å; angles 90.00, 90.00, 134.72 degrees
Sites, in units of the cell vectors:
Rb  0.175  0.825  0.750
Rb  0.825  0.175  0.250
Au  0.498  0.502  0.750
Au  0.502  0.498  0.250
S  0.386  0.614  0.003
S  0.386  0.614  0.497
S  0.614  0.386  0.503
S  0.614  0.386  0.997

No. 9
This record from Alexandria via LeMat-Bulk describes a relaxed structure of RbSbAu2S4. The functional is PBE-GGA.

Values from the calculation:
As for the total energy: -3.897 eV/atom. The total magnetic moment comes out at 0.000 μB/atom.

Cell lengths 6.973, 6.973, 6.973 Å; angles 125.04, 105.62, 99.00 degrees
Sites, in units of the cell vectors:
Rb  0.000  0.000  0.000
Sb  0.500  0.500  0.000
Au  0.332  0.832  0.500
Au  0.668  0.168  0.500
S  0.176  0.131  0.629
S  0.498  0.869  0.045
S  0.502  0.547  0.371
S  0.824  0.453  0.955

No. 10
This record from Alexandria via LeMat-Bulk describes a relaxed structure of RbSb2Au3S5. The functional is PBE-GGA.

Values from the calculation:
As for the total energy: -3.989 eV/atom. The total magnetic moment comes out at 0.000 μB/atom.

Cell lengths 12.802, 26.693, 7.146 Å; angles 90.00, 90.00, 90.00 degrees
Sites, in units of the cell vectors:
Rb  0.160  0.071  0.000
Rb  0.181  0.483  0.000
Rb  0.319  0.983  0.500
Rb  0.340  0.571  0.500
Rb  0.660  0.429  0.500
Rb  0.681  0.017  0.500
Rb  0.819  0.517  0.000
Rb  0.840  0.929  0.000
Sb  0.031  0.376  0.500
Sb  0.048  0.882  0.500
Sb  0.070  0.653  0.000
Sb  0.182  0.894  0.000
Sb  0.318  0.394  0.500
Sb  0.430  0.153  0.500
Sb  0.452  0.382  0.000
Sb  0.469  0.876  0.000
Sb  0.531  0.124  0.000
Sb  0.548  0.618  0.000
Sb  0.570  0.847  0.500
Sb  0.682  0.606  0.500
Sb  0.818  0.106  0.000
Sb  0.930  0.347  0.000
Sb  0.952  0.118  0.500
Sb  0.969  0.624  0.500
Au  0.017  0.765  0.251
Au  0.017  0.765  0.749
Au  0.182  0.307  0.247
Au  0.182  0.307  0.753
Au  0.193  0.182  0.500
Au  0.228  0.213  0.000
Au  0.272  0.713  0.500
Au  0.307  0.682  0.000
Au  0.318  0.807  0.253
Au  0.318  0.807  0.747
Au  0.483  0.265  0.249
Au  0.483  0.265  0.751
Au  0.517  0.735  0.249
Au  0.517  0.735  0.751
Au  0.682  0.193  0.253
Au  0.682  0.193  0.747
Au  0.693  0.318  0.000
Au  0.728  0.287  0.500
Au  0.772  0.787  0.000
Au  0.807  0.818  0.500
Au  0.818  0.693  0.247
Au  0.818  0.693  0.753
Au  0.983  0.235  0.251
Au  0.983  0.235  0.749
S  0.052  0.189  0.000
S  0.087  0.588  0.250
S  0.087  0.588  0.750
S  0.090  0.720  0.500
S  0.093  0.945  0.249
S  0.093  0.945  0.751
S  0.132  0.359  0.000
S  0.139  0.098  0.500
S  0.163  0.450  0.500
S  0.244  0.764  0.000
S  0.256  0.264  0.500
S  0.337  0.950  0.000
S  0.361  0.598  0.000
S  0.368  0.859  0.500
S  0.407  0.445  0.251
S  0.407  0.445  0.749
S  0.410  0.220  0.000
S  0.413  0.088  0.250
S  0.413  0.088  0.750
S  0.448  0.689  0.500
S  0.552  0.311  0.500
S  0.587  0.912  0.250
S  0.587  0.912  0.750
S  0.590  0.780  0.000
S  0.593  0.555  0.251
S  0.593  0.555  0.749
S  0.632  0.141  0.500
S  0.639  0.402  0.000
S  0.663  0.050  0.000
S  0.744  0.736  0.500
S  0.756  0.236  0.000
S  0.837  0.550  0.500
S  0.861  0.902  0.500
S  0.868  0.641  0.000
S  0.907  0.055  0.249
S  0.907  0.055  0.751
S  0.910  0.280  0.500
S  0.913  0.412  0.250
S  0.913  0.412  0.750
S  0.948  0.811  0.000

No. 11
This record from Alexandria via LeMat-Bulk describes a relaxed structure of RbSmAuS2. The functional is PBE-GGA.

Values from the calculation:
As for the total energy: -4.587 eV/atom. The total magnetic moment comes out at 0.000 μB/atom.

Cell lengths 7.657, 5.075, 7.916 Å; angles 90.00, 100.70, 90.00 degrees
Sites, in units of the cell vectors:
Rb  0.000  0.157  0.250
Rb  0.000  0.843  0.750
Sm  0.500  0.493  0.750
Sm  0.500  0.507  0.250
Au  0.500  0.000  0.000
Au  0.500  0.000  0.500
S  0.266  0.331  0.961
S  0.266  0.669  0.461
S  0.734  0.331  0.539
S  0.734  0.669  0.039

No. 12
This record from Alexandria via LeMat-Bulk describes a relaxed structure of RbSnAu2S4. The functional is PBE-GGA.

Values from the calculation:
As for the total energy: -3.899 eV/atom. The total magnetic moment comes out at 0.000 μB/atom.

Cell lengths 6.685, 6.685, 6.685 Å; angles 119.66, 111.59, 97.88 degrees
Sites, in units of the cell vectors:
Rb  0.000  0.000  0.000
Sn  0.500  0.500  0.000
Au  0.340  0.840  0.500
Au  0.660  0.160  0.500
S  0.156  0.124  0.604
S  0.480  0.876  0.032
S  0.520  0.552  0.396
S  0.844  0.448  0.968

No. 13
This record from Alexandria via LeMat-Bulk describes a relaxed structure of RbSnAuS3. The functional is PBE-GGA.

Values from the calculation:
As for the total energy: -4.040 eV/atom. The total magnetic moment comes out at 0.000 μB/atom.

Cell lengths 8.073, 8.073, 7.909 Å; angles 111.04, 111.04, 56.08 degrees
Sites, in units of the cell vectors:
Rb  0.172  0.172  0.238
Rb  0.828  0.828  0.762
Sn  0.429  0.429  0.125
Sn  0.571  0.571  0.875
Au  0.221  0.779  0.500
Au  0.779  0.221  0.500
S  0.099  0.640  0.204
S  0.360  0.901  0.796
S  0.383  0.383  0.786
S  0.617  0.617  0.214
S  0.640  0.099  0.204
S  0.901  0.360  0.796

No. 14
This record from Alexandria via LeMat-Bulk describes a relaxed structure of RbTaAu2S. The functional is PBE-GGA.

Values from the calculation:
As for the total energy: -3.461 eV/atom. The total magnetic moment comes out at 0.743 μB/atom.

Cell lengths 4.899, 4.899, 5.749 Å; angles 90.00, 90.00, 90.00 degrees
Sites, in units of the cell vectors:
Rb  0.000  0.000  0.000
Ta  0.500  0.500  0.000
Au  0.000  0.500  0.500
Au  0.500  0.000  0.500
S  0.000  0.000  0.500

No. 15
This record from Alexandria via LeMat-Bulk describes a relaxed structure of Rb2TaAuS4. The functional is PBE-GGA.

Values from the calculation:
As for the total energy: -5.197 eV/atom. The total magnetic moment comes out at 0.000 μB/atom.

Cell lengths 13.966, 12.448, 7.565 Å; angles 84.78, 62.58, 32.64 degrees
Sites, in units of the cell vectors:
Rb  0.052  0.052  0.698
Rb  0.302  0.302  0.948
Rb  0.698  0.698  0.052
Rb  0.948  0.948  0.302
Ta  0.375  0.375  0.375
Ta  0.625  0.625  0.625
Au  0.125  0.125  0.125
Au  0.875  0.875  0.875
S  0.002  0.638  0.550
S  0.311  0.550  0.638
S  0.362  0.998  0.689
S  0.450  0.689  0.998
S  0.550  0.311  0.002
S  0.638  0.002  0.311
S  0.689  0.450  0.362
S  0.998  0.362  0.450

No. 16
This record from Alexandria via LeMat-Bulk describes a relaxed structure of Rb2TeAuS4. The functional is PBE-GGA.

Values from the calculation:
As for the total energy: -3.406 eV/atom. The total magnetic moment comes out at 0.000 μB/atom.

Cell lengths 13.306, 11.347, 8.130 Å; angles 84.46, 58.08, 37.46 degrees
Sites, in units of the cell vectors:
Rb  0.055  0.055  0.695
Rb  0.305  0.305  0.945
Rb  0.695  0.695  0.055
Rb  0.945  0.945  0.305
Te  0.375  0.375  0.375
Te  0.625  0.625  0.625
Au  0.125  0.125  0.125
Au  0.875  0.875  0.875
S  0.046  0.325  0.422
S  0.292  0.578  0.675
S  0.325  0.046  0.708
S  0.422  0.708  0.046
S  0.578  0.292  0.954
S  0.675  0.954  0.292
S  0.708  0.422  0.325
S  0.954  0.675  0.578

No. 17
This record from Alexandria via LeMat-Bulk describes a relaxed structure of RbTe2AuS4. The functional is PBE-GGA.

Values from the calculation:
As for the total energy: -3.496 eV/atom. The total magnetic moment comes out at 0.000 μB/atom.

Cell lengths 6.787, 6.787, 6.787 Å; angles 119.15, 117.29, 93.11 degrees
Sites, in units of the cell vectors:
Rb  0.000  0.000  0.000
Te  0.227  0.727  0.500
Te  0.773  0.273  0.500
Au  0.500  0.500  0.000
S  0.149  0.553  0.031
S  0.478  0.447  0.596
S  0.522  0.118  0.969
S  0.851  0.882  0.404

No. 18
This record from Alexandria via LeMat-Bulk describes a relaxed structure of RbThAuS3. The functional is PBE-GGA.

Values from the calculation:
As for the total energy: -5.341 eV/atom. The total magnetic moment comes out at 0.000 μB/atom.

Cell lengths 9.048, 4.207, 9.738 Å; angles 90.00, 108.59, 90.00 degrees
Sites, in units of the cell vectors:
Rb  0.207  0.250  0.244
Rb  0.793  0.750  0.756
Th  0.317  0.750  0.834
Th  0.683  0.250  0.166
Au  0.114  0.250  0.585
Au  0.886  0.750  0.415
S  0.123  0.250  0.857
S  0.239  0.750  0.535
S  0.462  0.750  0.141
S  0.538  0.250  0.859
S  0.761  0.250  0.465
S  0.877  0.750  0.143

No. 19
This record from Alexandria via LeMat-Bulk describes a relaxed structure of Rb2ThAuS4. The functional is PBE-GGA.

Values from the calculation:
As for the total energy: -4.671 eV/atom. The total magnetic moment comes out at 0.000 μB/atom.

Cell lengths 6.905, 6.905, 6.905 Å; angles 112.20, 112.20, 104.15 degrees
Sites, in units of the cell vectors:
Rb  0.000  0.000  0.000
Rb  0.750  0.250  0.500
Th  0.500  0.500  0.000
Au  0.250  0.750  0.500
S  0.161  0.090  0.596
S  0.435  0.839  0.929
S  0.494  0.565  0.404
S  0.910  0.506  0.071